Material: FeTe2BrN
Method: DFT, PBEsol
State: relaxed

The structure in POSCAR format:
```
FeTe2BrN
1.0
-1.142 2.185 -2.297
-0.645 -4.013 -3.497
-5.002 -0.746 1.779
Te Br N Fe
2 1 1 1
Direct
0.000 0.000 0.500
0.000 0.500 0.000
0.500 0.500 0.500
0.500 0.000 0.000
0.000 0.000 0.000
```

Results
The total magnetization comes out at 0.0 μB/f.u. The density of states at the Fermi level comes out at 4.04 states/eV per cell. The formation energy (no corrections) comes out at 211 meV/atom.

Material: TmAlAu
Method: DFT, PBEsol
State: relaxed

The structure in POSCAR format:
```
TmAlAu
1.0
4.385 0.000 0.000
0.000 7.007 0.000
0.000 0.000 7.655
Tm Au Al
4 4 4
Direct
0.250 0.009 0.304
0.750 0.991 0.696
0.750 0.491 0.804
0.250 0.509 0.196
0.250 0.284 0.596
0.750 0.716 0.404
0.750 0.216 0.096
0.250 0.784 0.904
0.750 0.828 0.077
0.250 0.172 0.923
0.250 0.672 0.577
0.750 0.328 0.423
```

Results
The total magnetization comes out at 0.0 μB/f.u. For the final energy, the calculation gives -5.14 eV per atom. The density of states at the Fermi level comes out at 6.08 states/eV per cell.